1.
The following is a DFT calculation (PBE) of an optimized crystal structure of In2HgW.

Values from the calculation:
- energy of formation (eV/atom) = 0.6433

a = 3.054 Å, b = 4.551 Å, c = 5.978 Å
α = 90.00°, β = 90.00°, γ = 90.00°
Space group Pmm2 (No. 25)
Symmetry-distinct sites (fractional):
In (0.000, 0.000, 0.000) x1
In (0.500, 0.500, 0.301) x1
Hg (0.500, 0.500, 0.772) x1
W (0.000, 0.000, 0.493) x1



2.
The following is a DFT calculation (PBE) of an optimized crystal structure of CuBi3Rh.

Values from the calculation:
- energy of formation (eV/atom) = 0.0530
- ΔE to the lowest computed polymorph (meV per atom) = 0

a = 7.969 Å, b = 3.990 Å, c = 8.764 Å
α = 90.00°, β = 116.39°, γ = 90.00°
Space group P2_1/m (No. 11)
Symmetry-distinct sites (fractional):
Cu (0.026, 0.250, 0.284) x2
Bi (0.198, 0.250, 0.639) x2
Bi (0.320, 0.750, 0.373) x2
Bi (0.324, 0.750, 0.997) x2
Rh (0.480, 0.750, 0.746) x2



3.
The following is a DFT calculation (PBE) of an optimized crystal structure of OsPbSe2.

Values from the calculation:
- ΔE_f (raw) (meV per atom) = 411

a = 3.105 Å, b = 3.907 Å, c = 7.091 Å
α = 90.00°, β = 90.00°, γ = 90.00°
Space group Pmm2 (No. 25)
Symmetry-distinct sites (fractional):
Os (0.000, 0.000, 0.000) x1
Pb (0.500, 0.500, 0.319) x1
Se (0.000, 0.000, 0.639) x1
Se (0.500, 0.500, 0.893) x1



4.
The following is a DFT calculation (PBE) of an optimized crystal structure of CaAs2Ir.

Values from the calculation:
- energy of formation (eV/atom) = -0.3690

a = 3.486 Å, b = 3.613 Å, c = 12.970 Å
α = 90.00°, β = 90.00°, γ = 90.00°
Space group Imm2 (No. 44)
Symmetry-distinct sites (fractional):
Ca (0.000, 0.000, 0.000) x2
As (0.000, 0.000, 0.381) x2
As (0.000, 0.500, 0.179) x2
Ir (0.000, 0.500, 0.746) x2



5.
The following is a DFT calculation (PBE) of an optimized crystal structure of Sm5ThTl6.

Values from the calculation:
- energy of formation (eV/atom) = -0.2111
- ΔE to the lowest computed polymorph (meV per atom) = 117

a = 9.936 Å, b = 11.459 Å, c = 6.741 Å
α = 90.00°, β = 102.63°, γ = 90.00°
Space group C2/m (No. 12)
Symmetry-distinct sites (fractional):
Sm (0.000, 0.000, 0.000) x2
Sm (0.000, 0.170, 0.500) x4
Sm (0.000, 0.337, 0.000) x4
Th (0.000, 0.500, 0.500) x2
Tl (0.245, 0.000, 0.747) x4
Tl (0.247, 0.168, 0.245) x8



6.
The following is a DFT calculation (PBE) of an optimized crystal structure of ZnPtSe2.

Values from the calculation:
- ΔE_f (raw) (meV per atom) = -246

a = 5.718 Å, b = 5.718 Å, c = 11.534 Å
α = 90.00°, β = 90.00°, γ = 90.00°
Space group I-42d (No. 122)
Symmetry-distinct sites (fractional):
Zn (0.000, 0.000, 0.000) x4
Pt (0.000, 0.000, 0.500) x4
Se (0.245, 0.250, 0.625) x8



7.
The following is a DFT calculation (PBE) of an optimized crystal structure of CaZnRe2.

Values from the calculation:
- energy of formation (eV/atom) = 0.5316

a = 2.748 Å, b = 4.948 Å, c = 5.093 Å
α = 90.00°, β = 95.22°, γ = 90.00°
Space group P2/m (No. 10)
Symmetry-distinct sites (fractional):
Ca (0.000, 0.000, 0.000) x1
Zn (0.500, 0.000, 0.500) x1
Re (0.337, 0.500, 0.758) x2



8.
The following is a DFT calculation (PBE) of an optimized crystal structure of AlBRu2I.

Values from the calculation:
- ΔE_f (raw) (meV per atom) = 1977

a = 4.874 Å, b = 4.874 Å, c = 4.252 Å
α = 90.00°, β = 90.00°, γ = 90.00°
Space group P4/mmm (No. 123)
Symmetry-distinct sites (fractional):
Al (0.000, 0.000, 0.000) x1
B (0.500, 0.500, 0.000) x1
Ru (0.000, 0.500, 0.500) x2
I (0.500, 0.500, 0.500) x1



9.
The following is a DFT calculation (PBE) of an optimized crystal structure of Sc2CrAu.

Values from the calculation:
- energy of formation (eV/atom) = -0.1728

a = 10.685 Å, b = 3.522 Å, c = 4.518 Å
α = 90.00°, β = 114.95°, γ = 90.00°
Space group Cm (No. 8)
Symmetry-distinct sites (fractional):
Sc (0.000, 0.000, 0.000) x2
Sc (0.231, 0.000, 0.729) x2
Cr (0.473, 0.000, 0.473) x2
Au (0.242, 0.500, 0.240) x2



10.
The following is a DFT calculation (PBE) of an optimized crystal structure of TaCr3Cu2S8.

Values from the calculation:
- ΔE to the lowest computed polymorph (meV per atom) = 96
- ΔE_f (raw) (meV per atom) = -617

a = 5.861 Å, b = 6.968 Å, c = 5.927 Å
α = 90.00°, β = 94.37°, γ = 90.00°
Space group P2/m (No. 10)
Symmetry-distinct sites (fractional):
Ta (0.000, 0.000, 0.000) x1
Cr (0.000, 0.250, 0.500) x2
Cr (0.000, 0.500, 0.000) x1
Cu (0.500, 0.000, 0.000) x1
Cu (0.500, 0.500, 0.000) x1
S (0.221, 0.500, 0.682) x2
S (0.238, 0.000, 0.675) x2
S (0.244, 0.255, 0.185) x4



11.
The following is a DFT calculation (PBE) of an optimized crystal structure of Mn3TlIr.

Values from the calculation:
- energy of formation (eV/atom) = 0.7803
- ΔE to the lowest computed polymorph (meV per atom) = 0

a = 4.916 Å, b = 4.916 Å, c = 4.916 Å
α = 90.00°, β = 90.00°, γ = 90.00°
Space group Pm-3m (No. 221)
Symmetry-distinct sites (fractional):
Mn (0.000, 0.000, 0.500) x3
Tl (0.500, 0.500, 0.500) x1
Ir (0.000, 0.000, 0.000) x1



12.
The following is a DFT calculation (PBE) of an optimized crystal structure of Hf2Co3Ir.

Values from the calculation:
- energy of formation (eV/atom) = -0.5052

a = 4.8826 Å, b = 4.8826 Å, c = 12.5938 Å
α = 90.00°, β = 90.00°, γ = 120.00°
Space group R-3m (No. 166, hexagonal axes)
Symmetry-distinct sites (fractional):
Hf (0.0000, 0.0000, 0.1210) x6
Co (0.0000, 0.5000, 0.0000) x9
Ir (0.0000, 0.0000, 0.5000) x3